DFT (PBE) results for a relaxed In2CoRh crystal.

energy of formation: 0.07 eV/atom
DOS at the Fermi energy: 0.941 states/eV/atom
space-group type: P4mm, No. 99

Cell lengths 3.0435, 3.0435, 7.6904 Å; angles 90.00, 90.00, 90.00 degrees
Fractional coordinates of all 4 atoms:
Co1 0.5000 0.5000 0.7198
In1 0.0000 0.0000 0.9455
In2 0.5000 0.5000 0.2985
Rh1 0.0000 0.0000 0.5362

DFT (PBE) results for a relaxed LaTh2VN4 crystal.

raw formation energy: -1.265 eV per atom
DOS at the Fermi energy: 0.642 states/eV/atom
space-group type: Cmcm, No. 63

Cell lengths 3.5472, 6.3104, 12.2454 Å; angles 90.00, 90.00, 106.32 degrees
Fractional coordinates of all 16 atoms:
La1 0.0825 0.1649 0.7500
La2 0.9175 0.8351 0.2500
Th1 0.3676 0.7352 0.5487
Th2 0.6324 0.2648 0.0487
Th3 0.6324 0.2648 0.4513
Th4 0.3676 0.7352 0.9513
V1 0.8223 0.6446 0.7500
V2 0.1777 0.3554 0.2500
N1 0.2675 0.5350 0.1276
N2 0.7325 0.4650 0.6276
N3 0.7325 0.4650 0.8724
N4 0.2675 0.5350 0.3724
N5 0.0000 0.0000 0.5000
N6 0.0000 0.0000 0.0000
N7 0.4207 0.8415 0.7500
N8 0.5793 0.1585 0.2500

DFT (PBE) results for a relaxed InO crystal.

raw formation energy: -1.128 eV per atom
space-group type: P2_12_12_1, No. 19

Cell lengths 5.2319, 5.9600, 8.3790 Å; angles 90.00, 90.00, 90.00 degrees
Fractional coordinates of all 16 atoms:
In1 0.8069 0.5340 0.9677
In2 0.3069 0.9660 0.0323
In3 0.1931 0.0340 0.5323
In4 0.6931 0.4660 0.4677
In5 0.2402 0.4555 0.7843
In6 0.7402 0.0445 0.2157
In7 0.7598 0.9555 0.7157
In8 0.2598 0.5445 0.2843
O1 0.4135 0.6004 0.0253
O2 0.9135 0.8996 0.9747
O3 0.5865 0.1004 0.4747
O4 0.0865 0.3996 0.5253
O5 0.4226 0.1234 0.8042
O6 0.9226 0.3766 0.1958
O7 0.5774 0.6234 0.6958
O8 0.0774 0.8766 0.3041

DFT (PBE) results for a relaxed LaZn5PdAu2 crystal.

energy of formation: -0.18 eV/atom
DOS at the Fermi energy: 0.382 states/eV/atom
space-group type: P4/mmm, No. 123

Cell lengths 4.9358, 4.9358, 7.5387 Å; angles 90.00, 90.00, 90.00 degrees
Fractional coordinates of all 9 atoms:
La1 0.0000 0.0000 0.5000
Zn1 0.0000 0.5000 0.1838
Zn2 0.5000 0.0000 0.1838
Zn3 0.0000 0.5000 0.8162
Zn4 0.5000 0.0000 0.8162
Zn5 0.5000 0.5000 0.5000
Pd1 0.0000 0.0000 0.0000
Au1 0.5000 0.5000 0.1814
Au2 0.5000 0.5000 0.8186

DFT (PBE) results for a relaxed P2IrSe crystal.

raw formation energy: 0.374 eV per atom
DOS at the Fermi energy: 0.405 states/eV/atom
space-group type: Cmmm, No. 65

Cell lengths 2.7642, 2.7642, 10.8663 Å; angles 90.00, 90.00, 120.34 degrees
Fractional coordinates of all 4 atoms:
Ir1 0.5000 0.5000 0.7500
P1 0.0000 0.0000 0.9411
P2 0.0000 0.0000 0.5589
Se1 0.5000 0.5000 0.2500

DFT (PBE) results for a relaxed La3Pr4Y2 crystal.

energy of formation: 0.02 eV/atom
distance to the lowest polymorph of the same formula: 0.000 eV/f.u.
DOS at the Fermi energy: 1.607 states/eV/atom
space-group type: C2/m, No. 12

Cell lengths 3.6983, 8.2842, 11.0487 Å; angles 76.59, 90.00, 102.90 degrees
Fractional coordinates of all 9 atoms:
La1 0.3326 0.6651 0.5543
La2 0.0000 0.0000 0.0000
La3 0.6674 0.3349 0.4457
Pr1 0.6675 0.3349 0.1102
Pr2 0.0000 0.0000 0.6689
Pr3 0.0000 0.0000 0.3311
Pr4 0.3325 0.6651 0.8898
Y1 0.3329 0.6657 0.2220
Y2 0.6671 0.3343 0.7780

DFT (PBE) results for a relaxed ErIn2Hg9 crystal.

energy of formation: -0.09 eV/atom
DOS at the Fermi energy: 0.324 states/eV/atom
space-group type: Pmmm, No. 47

Cell lengths 4.9178, 4.2186, 14.7794 Å; angles 90.00, 90.00, 90.00 degrees
Fractional coordinates of all 12 atoms:
Er1 0.0000 0.0000 0.0000
In1 0.0000 0.0000 0.3275
In2 0.0000 0.0000 0.6725
Hg1 0.5000 0.5000 0.0000
Hg2 0.5000 0.5000 0.3303
Hg3 0.5000 0.5000 0.6697
Hg4 0.5000 0.0000 0.1604
Hg5 0.5000 0.0000 0.5000
Hg6 0.5000 0.0000 0.8396
Hg7 0.0000 0.5000 0.1594
Hg8 0.0000 0.5000 0.5000
Hg9 0.0000 0.5000 0.8406